#P
DFT (GGA-PBE) results for a relaxed Y3PaN4 crystal.

The structure belongs to space group Cmmm (No. 65); the cell edges are 6.9687, 9.8070 and 3.4993 Å and the angles 90.00°, 90.00° and 90.00°. The distinct sites, in fractional coordinates, are Y at (0.0000, 0.0000, 0.0000), Y at (0.2500, 0.2500, 0.5000), Pa at (0.0000, 0.5000, 0.0000), N at (0.0000, 0.2601, 0.0000) and N at (0.2404, 0.5000, 0.5000).

#Q
DFT (GGA-PBE) results for a relaxed Y3PaN4 crystal.

The structure belongs to space group I4/mmm (No. 139); the cell edges are 4.9254, 4.9254 and 9.8294 Å and the angles 90.00°, 90.00° and 90.00°. The distinct sites, in fractional coordinates, are Y at (0.0000, 0.0000, 0.0000), Y at (0.0000, 0.5000, 0.2500), Pa at (0.0000, 0.0000, 0.5000), N at (0.0000, 0.0000, 0.2648) and N at (0.0000, 0.5000, 0.0000).

In kJ/mol of atoms, relative to the most stable structure: #P 0.9; #Q 0.0.

#P
DFT (GGA-PBE) results for a relaxed ZrPa2N4 crystal.

The structure belongs to space group C2/m (No. 12); the cell edges are 11.2487, 3.4343 and 6.0947 Å and the angles 90.00°, 118.30° and 90.00°. The distinct sites, in fractional coordinates, are Zr at (0.0000, 0.0000, 0.0000), Pa at (0.1953, 0.5000, 0.6980), N at (0.1287, 0.0000, 0.4236) and N at (0.1503, 0.5000, 0.0293).

#Q
DFT (GGA-PBE) results for a relaxed ZrPa2N4 crystal.

The structure belongs to space group I4/mmm (No. 139); the cell edges are 5.6884, 5.6884 and 5.8205 Å and the angles 90.00°, 90.00° and 90.00°. The distinct sites, in fractional coordinates, are Zr at (0.0000, 0.0000, 0.0000), Pa at (0.0000, 0.5000, 0.0000) and N at (0.2500, 0.2500, 0.2500).

In kJ/mol of atoms, relative to the most stable structure: #P 0.0; #Q 60.5.

#P
DFT (GGA-PBE) results for a relaxed Zr3PaN4 crystal.

The structure belongs to space group P2/c (No. 13); the cell edges are 5.7846, 6.6308 and 5.7691 Å and the angles 90.00°, 109.24° and 90.00°. The distinct sites, in fractional coordinates, are Zr at (0.0000, 0.1205, 0.2500), Zr at (0.0000, 0.3704, 0.7500), Zr at (0.5000, 0.1217, 0.7500), Pa at (0.5000, 0.3721, 0.2500), N at (0.2419, 0.3712, 0.4982) and N at (0.2469, 0.1238, 0.9990).

#Q
DFT (GGA-PBE) results for a relaxed Zr3PaN4 crystal.

The structure belongs to space group Pmmn (No. 59, origin choice 2); the cell edges are 4.6970, 7.7625 and 6.7108 Å and the angles 90.00°, 90.00° and 90.00°. The distinct sites, in fractional coordinates, are Zr at (0.2500, 0.0021, 0.1644), Zr at (0.2500, 0.7500, 0.6854), Pa at (0.2500, 0.2500, 0.6531), N at (0.2500, 0.0041, 0.8387), N at (0.2500, 0.2500, 0.3126) and N at (0.2500, 0.7500, 0.3401).

In kJ/mol of atoms, relative to the most stable structure: #P 0.0; #Q 17.9.

#P
DFT (GGA-PBE) results for a relaxed PbN crystal.

The structure belongs to space group P4_2/mnm (No. 136); the cell edges are 6.7836, 6.7836 and 3.7605 Å and the angles 90.00°, 90.00° and 90.00°. The distinct sites, in fractional coordinates, are Pb at (0.1763, 0.1763, 0.0000) and N at (0.1773, 0.8227, 0.0000).

#Q
DFT (GGA-PBE) results for a relaxed PbN crystal.

The structure belongs to space group P4/m (No. 83); the cell edges are 10.5480, 10.5480 and 3.7388 Å and the angles 90.00°, 90.00° and 90.00°. The distinct sites, in fractional coordinates, are Pb at (0.0823, 0.2599, 0.0000), Pb at (0.1637, 0.6104, 0.5000), N at (0.0621, 0.3743, 0.5000) and N at (0.1303, 0.7561, 0.0000).

In kJ/mol of atoms, relative to the most stable structure: #P 0.0; #Q 1.2.

#P
DFT (GGA-PBE) results for a relaxed PbN crystal.

The structure belongs to space group I4mm (No. 107); the cell edges are 3.5112, 3.5112 and 5.5488 Å and the angles 90.00°, 90.00° and 90.00°. The distinct sites, in fractional coordinates, are Pb at (0.0000, 0.0000, 0.0000) and N at (0.0000, 0.0000, 0.5674).

#Q
DFT (GGA-PBE) results for a relaxed PbN crystal.

The structure belongs to space group I-43m (No. 217); the cell edges are 7.4787, 7.4787 and 7.4787 Å and the angles 90.00°, 90.00° and 90.00°. The distinct sites, in fractional coordinates, are Pb at (0.1626, 0.1626, 0.8374) and N at (0.1617, 0.1617, 0.1617).

In kJ/mol of atoms, relative to the most stable structure: #P 0.0; #Q 12.8.

#P
DFT (GGA-PBE) results for a relaxed PbN crystal.

The structure belongs to space group P6_3mc (No. 186); the cell edges are 3.7987, 3.7987 and 6.5214 Å and the angles 90.00°, 90.00° and 120.00°. The distinct sites, in fractional coordinates, are Pb at (0.3333, 0.6667, 0.0000) and N at (0.3333, 0.6667, 0.6327).

#Q
DFT (GGA-PBE) results for a relaxed PbN crystal.

The structure belongs to space group Pmmn (No. 59, origin choice 2); the cell edges are 3.6506, 12.4151 and 5.1138 Å and the angles 90.00°, 90.00° and 90.00°. The distinct sites, in fractional coordinates, are Pb at (0.2500, 0.0710, 0.2404), Pb at (0.2500, 0.7500, 0.2544), N at (0.2500, 0.2500, 0.0078) and N at (0.2500, 0.6020, 0.4941).

#R
DFT (GGA-PBE) results for a relaxed PbN crystal.

The structure belongs to space group P6_3/m (No. 176); the cell edges are 9.6135, 9.6135 and 3.7361 Å and the angles 90.00°, 90.00° and 120.00°. The distinct sites, in fractional coordinates, are Pb at (0.0979, 0.6748, 0.2500) and N at (0.0682, 0.4056, 0.2500).

In kJ/mol of atoms, relative to the most stable structure: #P 4.1; #Q 0.0; #R 15.4.

#P
DFT (GGA-PBE) results for a relaxed PbN crystal.

The structure belongs to space group C2/m (No. 12); the cell edges are 6.8409, 3.9456 and 6.4867 Å and the angles 90.00°, 110.49° and 90.00°. The distinct sites, in fractional coordinates, are Pb at (0.0891, 0.0000, 0.2669) and N at (0.2186, 0.0000, 0.6568).

#Q
DFT (GGA-PBE) results for a relaxed PbN crystal.

The structure belongs to space group Pmn2_1 (No. 31); the cell edges are 11.2925, 3.5731 and 6.2028 Å and the angles 90.00°, 90.00° and 90.00°. The distinct sites, in fractional coordinates, are Pb at (0.0000, 0.0071, 0.0000), Pb at (0.1810, 0.6926, 0.5850), N at (0.0000, 0.5442, 0.7268) and N at (0.2263, 0.8098, 0.9403).

#R
DFT (GGA-PBE) results for a relaxed PbN crystal.

The structure belongs to space group I-4m2 (No. 119); the cell edges are 3.8767, 3.8767 and 5.4605 Å and the angles 90.00°, 90.00° and 90.00°. The distinct sites, in fractional coordinates, are Pb at (0.0000, 0.0000, 0.0000) and N at (0.0000, 0.5000, 0.7500).

#S
DFT (GGA-PBE) results for a relaxed PbN crystal.

The structure belongs to space group I4/m (No. 87); the cell edges are 10.1768, 10.1768 and 3.7225 Å and the angles 90.00°, 90.00° and 90.00°. The distinct sites, in fractional coordinates, are Pb at (0.1098, 0.2793, 0.0000) and N at (0.1204, 0.7098, 0.0000).

In kJ/mol of atoms, relative to the most stable structure: #P 2.8; #Q 4.2; #R 0.0; #S 9.2.

#P
DFT (GGA-PBE) results for a relaxed Pb3N2 crystal.

The structure belongs to space group Pnma (No. 62); the cell edges are 10.8101, 3.5556 and 12.5884 Å and the angles 90.00°, 90.00° and 90.00°. The distinct sites, in fractional coordinates, are Pb at (0.0388, 0.2500, 0.1151), Pb at (0.0849, 0.7500, 0.5990), Pb at (0.2230, 0.7500, 0.3609), N at (0.0889, 0.2500, 0.9340) and N at (0.1174, 0.2500, 0.4702).

#Q
DFT (GGA-PBE) results for a relaxed Pb3N2 crystal.

The structure belongs to space group Pmmn (No. 59, origin choice 2); the cell edges are 3.6477, 12.0338 and 5.6065 Å and the angles 90.00°, 90.00° and 90.00°. The distinct sites, in fractional coordinates, are Pb at (0.2500, 0.0673, 0.2250), Pb at (0.2500, 0.7500, 0.2716) and N at (0.2500, 0.6048, 0.0213).

In kJ/mol of atoms, relative to the most stable structure: #P 1.7; #Q 0.0.

#P
DFT (GGA-PBE) results for a relaxed PdPbN crystal.

The structure belongs to space group P-1 (No. 2); the cell edges are 3.6797, 4.0041 and 8.7422 Å and the angles 89.89°, 78.00° and 89.35°. The distinct sites, in fractional coordinates, are Pd at (0.0512, 0.2498, 0.3973), Pb at (0.3397, 0.2505, 0.8243) and N at (0.0797, 0.7498, 0.3392).

#Q
DFT (GGA-PBE) results for a relaxed PdPbN crystal.

The structure belongs to space group P2_1/c (No. 14); the cell edges are 11.8676, 4.5068 and 6.5404 Å and the angles 90.00°, 99.06° and 90.00°. The distinct sites, in fractional coordinates, are Pd at (0.0718, 0.2501, 0.2702), Pb at (0.1430, 0.7501, 0.0405) and N at (0.4901, 0.1024, 0.4530).

In kJ/mol of atoms, relative to the most stable structure: #P 55.6; #Q 0.0.